## SrDy2Ga3Ge2Pt (PBE)

Data for a geometry-optimized SrDy2Ga3Ge2Pt structure.

Cell: 4.277 12.482 7.135 Å, 90.00 90.00 90.00°
Space group Amm2 (No. 38)
One atom of each set of equivalent atoms:
1 Sr 0.000 0.000 0.000 [2 per cell]
2 Dy 0.000 0.205 0.381 [4 per cell]
3 Ga 0.500 0.000 0.354 [2 per cell]
4 Ga 0.500 0.119 0.695 [4 per cell]
5 Ge 0.500 0.176 0.087 [4 per cell]
6 Pt 0.000 0.000 0.568 [2 per cell]

Calculated values
Total magnetization ... 0.01 μB per formula unit
Raw total energy ... -42.074 eV/f.u.